Here is a relaxed Ac4Hg3N crystal from the Alexandria database. Energies are from PBE.

Results
excess energy over the best structure of this formula in the dataset	6	meV/atom
raw total energy	-30.3	eV for the cell shown
formation energy (no corrections)	-0.584	eV/atom
magnetization	0.0	Bohr magnetons per cell

Cell lengths 6.976, 6.976, 6.976 Å; angles 109.47, 109.47, 109.47 degrees
Atoms (fractional coordinates):
Ac: 0.000 0.000 0.643
Ac: 0.000 0.643 0.000
Ac: 0.357 0.357 0.357
Ac: 0.643 0.000 0.000
Hg: 0.000 0.500 0.500
Hg: 0.500 0.000 0.500
Hg: 0.500 0.500 0.000
N: 0.000 0.000 0.000